Run a
Computed, not measured: an optimized crystal structure of Ac2CoO5 at the PBE with a Hubbard U level of DFT.

Calculated values
Crystal system   tetragonal
Total magnetic moment   3.000 μB/cell

Structure (CIF):
```
data_Ac2CoO5
_symmetry_space_group_name_H-M 'P 1'
_symmetry_Int_Tables_number 1
_cell_length_a 5.759
_cell_length_b 5.759
_cell_length_c 5.480
_cell_angle_alpha 121.70
_cell_angle_beta 121.70
_cell_angle_gamma 90.00
loop_
_symmetry_equiv_pos_as_xyz
'x,y,z'
loop_
_atom_site_label
_atom_site_fract_x
_atom_site_fract_y
_atom_site_fract_z
O1 0.737 0.737 0.474
O2 0.249 0.249 0.046
O3 0.798 0.798 0.046
O4 0.249 0.797 0.046
Ac1 0.735 0.235 0.470
Co1 0.977 0.977 0.955
O5 0.797 0.249 0.046
Ac2 0.235 0.735 0.470
```

---

Run b
Computed, not measured: an optimized crystal structure of Ac2CoO5 at the PBE with a Hubbard U level of DFT.

Calculated values
Crystal system   triclinic
Total magnetic moment   20.000 μB/cell

Structure (CIF):
```
data_Ac2CoO5
_symmetry_space_group_name_H-M 'P 1'
_symmetry_Int_Tables_number 1
_cell_length_a 4.315
_cell_length_b 11.229
_cell_length_c 11.174
_cell_angle_alpha 89.97
_cell_angle_beta 90.09
_cell_angle_gamma 90.54
loop_
_symmetry_equiv_pos_as_xyz
'x,y,z'
loop_
_atom_site_label
_atom_site_fract_x
_atom_site_fract_y
_atom_site_fract_z
O1 0.218 0.756 0.867
O2 0.236 0.799 0.233
O3 0.726 0.243 0.133
O4 0.749 0.514 0.099
Ac1 0.746 0.864 0.566
O5 0.239 0.226 0.976
Co1 0.322 0.203 0.135
O6 0.766 0.202 0.767
Ac2 0.259 0.082 0.791
O7 0.761 0.275 0.476
Ac3 0.231 0.582 0.709
O8 0.250 0.985 0.599
O9 0.241 0.299 0.267
Ac4 0.752 0.418 0.291
Co2 0.318 0.703 0.365
O10 0.263 0.553 0.310
Ac5 0.245 0.136 0.434
O11 0.725 0.448 0.690
Ac6 0.748 0.918 0.209
Co3 0.818 0.797 0.865
O12 0.276 0.255 0.633
O13 0.244 0.486 0.901
Ac7 0.249 0.636 0.066
O14 0.720 0.744 0.368
O15 0.768 0.947 0.810
Co4 0.677 0.297 0.635
O16 0.262 0.053 0.191
O17 0.727 0.701 0.733
O18 0.231 0.725 0.524
O19 0.734 0.775 0.024
Ac8 0.751 0.364 0.934
O20 0.750 0.015 0.401
```

---

Of them, run a has the lowest stability.

---

Run a
Computed, not measured: an optimized crystal structure of Ac2CoO4 at the PBE with a Hubbard U level of DFT.

Calculated values
Crystal system   tetragonal
Total magnetic moment   3.000 μB/cell

Structure (CIF):
```
data_Ac2CoO4
_symmetry_space_group_name_H-M 'P 1'
_symmetry_Int_Tables_number 1
_cell_length_a 3.976
_cell_length_b 3.976
_cell_length_c 9.006
_cell_angle_alpha 102.75
_cell_angle_beta 102.75
_cell_angle_gamma 90.00
loop_
_symmetry_equiv_pos_as_xyz
'x,y,z'
loop_
_atom_site_label
_atom_site_fract_x
_atom_site_fract_y
_atom_site_fract_z
Co1 0.000 0.000 0.000
O1 0.101 0.101 0.203
Ac1 0.331 0.331 0.662
O2 0.750 0.250 0.500
O3 0.250 0.750 0.500
O4 0.899 0.899 0.797
Ac2 0.669 0.669 0.338
```

---

Run b
Computed, not measured: an optimized crystal structure of Ac2CoO4 at the PBE with a Hubbard U level of DFT.

Calculated values
Crystal system   orthorhombic
Total magnetic moment   6.000 μB/cell

Structure (CIF):
```
data_Ac2CoO4
_symmetry_space_group_name_H-M 'P 1'
_symmetry_Int_Tables_number 1
_cell_length_a 5.923
_cell_length_b 5.925
_cell_length_c 7.215
_cell_angle_alpha 114.24
_cell_angle_beta 90.00
_cell_angle_gamma 90.00
loop_
_symmetry_equiv_pos_as_xyz
'x,y,z'
loop_
_atom_site_label
_atom_site_fract_x
_atom_site_fract_y
_atom_site_fract_z
O1 0.281 0.282 0.000
Ac1 0.000 0.649 0.299
O2 0.719 0.718 0.000
Ac2 0.000 0.351 0.701
O3 0.750 0.502 0.500
O4 0.750 0.002 0.500
O5 0.250 0.998 0.500
Ac3 0.500 0.149 0.299
O6 0.250 0.498 0.500
O7 0.219 0.782 0.000
Co1 0.500 0.500 0.000
O8 0.781 0.218 0.000
Co2 0.000 0.000 0.000
Ac4 0.500 0.851 0.701
```

---

Of them, run a has the lowest stability.